No. 1
VASP calculation (GGA-PBE) on Nd4HgGeSe2 after structural relaxation.

Calculated values
As for the crystal system: monoclinic. Its formation energy without anion corrections is -9.9 eV/f.u.

Cell and atoms, written as CIF:
```
data_Nd4HgGeSe2
_cell_length_a 4.2749
_cell_length_b 7.6893
_cell_length_c 7.2738
_cell_angle_alpha 71.36
_cell_angle_beta 90.00
_cell_angle_gamma 90.00
_space_group_name_H-M_alt 'P 1'
_space_group_IT_number 1
loop_
_space_group_symop_operation_xyz
'x,y,z'
loop_
_atom_site_label
_atom_site_type_symbol
_atom_site_fract_x
_atom_site_fract_y
_atom_site_fract_z
Ge1 Ge 0.0000 0.5000 0.5000
Nd1 Nd 0.0000 0.2359 0.2632
Se1 Se 0.0000 0.0000 0.0000
Nd2 Nd 0.5000 0.2498 0.7386
Nd3 Nd 0.5000 0.7502 0.2614
Nd4 Nd 0.0000 0.7641 0.7368
Se2 Se 0.5000 0.0000 0.5000
Hg1 Hg 0.5000 0.5000 0.0000
```

No. 2
VASP calculation (GGA-PBE) on CaGaAuC2 after structural relaxation.

Calculated values
As for the crystal system: tetragonal. The formation energy comes out at 8.881 eV per formula unit.

Cell and atoms, written as CIF:
```
data_CaGaAuC2
_cell_length_a 4.1581
_cell_length_b 5.5821
_cell_length_c 4.1581
_cell_angle_alpha 90.00
_cell_angle_beta 90.00
_cell_angle_gamma 90.00
_space_group_name_H-M_alt 'P 1'
_space_group_IT_number 1
loop_
_space_group_symop_operation_xyz
'x,y,z'
loop_
_atom_site_label
_atom_site_type_symbol
_atom_site_fract_x
_atom_site_fract_y
_atom_site_fract_z
C1 C 0.0000 0.0000 0.5000
Ga1 Ga 0.5000 0.5000 0.5000
Au1 Au 0.0000 0.0000 0.0000
Ca1 Ca 0.0000 0.5000 0.0000
C2 C 0.5000 0.0000 0.0000
```

No. 3
VASP calculation (GGA-PBE) on ErTh2In after structural relaxation.

Calculated values
As for the crystal system: monoclinic. The formation energy comes out at -0.459 eV per formula unit. The energy relative to the lowest polymorph listed for this composition is 72 meV/atom.

Cell and atoms, written as CIF:
```
data_ErTh2In
_cell_length_a 4.7129
_cell_length_b 4.6893
_cell_length_c 11.4541
_cell_angle_alpha 90.00
_cell_angle_beta 101.92
_cell_angle_gamma 90.00
_space_group_name_H-M_alt 'P 1'
_space_group_IT_number 1
loop_
_space_group_symop_operation_xyz
'x,y,z'
loop_
_atom_site_label
_atom_site_type_symbol
_atom_site_fract_x
_atom_site_fract_y
_atom_site_fract_z
Th1 Th 0.4377 0.7500 0.8761
Th2 Th 0.9387 0.2500 0.8779
Th3 Th 0.0613 0.7500 0.1221
In1 In 0.8300 0.7500 0.6617
Er1 Er 0.6944 0.7500 0.3871
Er2 Er 0.3056 0.2500 0.6129
Th4 Th 0.5623 0.2500 0.1239
In2 In 0.1700 0.2500 0.3383
```

No. 4
VASP calculation (GGA-PBE) on Mn4IrRh3 after structural relaxation.

Calculated values
As for the crystal system: orthorhombic. The formation energy comes out at -1.360 eV per formula unit.

Cell and atoms, written as CIF:
```
data_Mn4IrRh3
_cell_length_a 3.0155
_cell_length_b 4.3147
_cell_length_c 8.6238
_cell_angle_alpha 90.00
_cell_angle_beta 90.00
_cell_angle_gamma 90.00
_space_group_name_H-M_alt 'P 1'
_space_group_IT_number 1
loop_
_space_group_symop_operation_xyz
'x,y,z'
loop_
_atom_site_label
_atom_site_type_symbol
_atom_site_fract_x
_atom_site_fract_y
_atom_site_fract_z
Rh1 Rh 0.5000 0.0000 0.7503
Mn1 Mn 0.0000 0.5000 0.7496
Ir1 Ir 0.5000 0.5000 0.0000
Rh2 Rh 0.5000 0.5000 0.5000
Rh3 Rh 0.5000 0.0000 0.2497
Mn2 Mn 0.0000 0.0000 0.0000
Mn3 Mn 0.0000 0.5000 0.2504
Mn4 Mn 0.0000 0.0000 0.5000
```